Entry 1:
BaLa2Se4 | PBE | relaxed

```
BaLa2Se4
1.0
12.6090 0.0000 0.0000
0.0000 4.4777 0.0000
0.0000 0.0000 15.7639
Ba La Se
4 8 16
direct
0.2408 0.2500 0.1576
0.2592 0.7500 0.6576
0.7408 0.2500 0.3424
0.7592 0.7500 0.8424
0.0655 0.7500 0.3922
0.0985 0.7500 0.8981
0.4015 0.2500 0.3981
0.4345 0.2500 0.8922
0.5655 0.7500 0.1078
0.5985 0.7500 0.6019
0.9015 0.2500 0.1019
0.9345 0.2500 0.6078
0.0006 0.2500 0.2819
0.0643 0.7500 0.0851
0.1475 0.2500 0.5115
0.2219 0.2500 0.8141
0.2781 0.7500 0.3141
0.3525 0.7500 0.0115
0.4357 0.2500 0.5851
0.4994 0.7500 0.7819
0.5006 0.2500 0.2181
0.5643 0.7500 0.4149
0.6475 0.2500 0.9885
0.7219 0.2500 0.6859
0.7781 0.7500 0.1859
0.8525 0.7500 0.4885
0.9357 0.2500 0.9149
0.9994 0.7500 0.7181
```

Values from the calculation:
Mass density in g/cm3: 5.46
Energy relative to the elements, uncorrected in meV/atom: -2060

Entry 2:
YCd2Ni | PBE | relaxed

```
YCd2Ni
1.0
-2.1755 2.1755 4.3495
2.1755 -2.1755 4.3495
2.1755 2.1755 -4.3495
Y Cd Ni
1 2 1
direct
0.0000 0.0000 0.0000
0.2500 0.7500 0.5000
0.7500 0.2500 0.5000
0.5000 0.5000 0.0000
```

Values from the calculation:
Mass density in g/cm3: 7.51
Formation energy in eV/atom: -0.115

Entry 3:
La2TaGaIr | PBE | relaxed

```
La2TaGaIr
1.0
5.4601 0.0000 0.0000
0.0000 5.4601 0.0000
0.0000 0.0000 4.8701
La Ta Ga Ir
2 1 1 1
direct
0.0000 0.5000 0.0000
0.5000 0.0000 0.0000
0.0000 0.0000 0.0000
0.0000 0.0000 0.5000
0.5000 0.5000 0.5000
```

Values from the calculation:
Mass density in g/cm3: 8.24
Formation energy in eV/atom: 0.858

no.,final energy (eV per atom)
1,-5.734
2,-3.634
3,-5.861